No. 1
Mg3Ga3AgRh2 (PBE-GGA, relaxed); total magnetic moment = 0.0 μB/cell; space-group type = P-62m, No. 189; ρ = 6.72 g cm⁻³; ΔH_f (0 K) = -0.33 eV per atom
1.0
-1.8592 -2.0475 1.2516
0.1320 -3.9897 -6.3307
5.0564 -1.3158 5.3585
Mg Ga Ag Rh
3 3 1 2
Cartesian
-0.8368 -3.8278 -3.8236
2.6242 -1.9485 4.3920
0.6122 -2.6003 0.3369
3.2184 -3.2910 -0.6030
1.9198 -0.4996 2.0346
0.0501 -1.5148 -2.4037
0.0000 0.0000 0.0000
0.8439 -4.1221 -1.8085
2.4853 -3.2308 2.0879

***

No. 2
Pr3Ge (PBE-GGA, relaxed); total magnetic moment = 0.0 μB/cell; space-group type = Imm2, No. 44; energy relative to the lowest polymorph listed for this composition = 0.113 eV per atom; ρ = 6.65 g cm⁻³; ΔH_f (0 K) = -0.33 eV per atom
1.0
4.0806 0.0000 0.0000
0.0000 5.2360 0.0000
-2.0403 -2.6180 5.7881
Pr Ge
3 1
Cartesian
0.0000 2.1476 3.4345
2.0403 2.2015 0.0000
2.0403 -0.4703 2.3536
0.0000 4.8478 0.0000

***

No. 3
Rh2PbAu2 (PBE-GGA, relaxed); total magnetic moment = 0.9 μB/cell; space-group type = I4/mmm, No. 139; energy relative to the lowest polymorph listed for this composition = 0.164 eV per atom; ρ = 13.67 g cm⁻³; ΔH_f (0 K) = 0.30 eV per atom
1.0
-0.5421 1.8631 3.3419
-1.9963 -3.0172 1.3583
4.2741 -3.1853 4.7034
Pb Rh Au
1 2 2
Cartesian
0.0000 0.0000 0.0000
-0.1941 -1.0829 2.8065
1.9299 -3.2565 6.5970
1.2314 -0.9496 5.1977
0.5044 -3.3898 4.2059